VASP calculation (PBE-GGA) on an optimized crystal structure of YBr3.

Cell lengths 5.460, 5.460, 5.460 Å; angles 126.83, 126.83, 78.53 degrees
Element x y z (fractional)
Br 0.750 0.250 0.500
Br 0.500 0.500 0.000
Br 0.250 0.750 0.500
Y 0.000 0.000 0.000

**N(E_F)**: 0.0 states/eV/f.u.



VASP calculation (PBE-GGA) on an optimized crystal structure of YBr4.

Cell lengths 5.930, 5.930, 5.930 Å; angles 109.47, 109.47, 109.47 degrees
Element x y z (fractional)
Br 0.000 0.000 0.500
Br 0.000 0.500 0.000
Br 0.500 0.500 0.500
Br 0.500 0.000 0.000
Y 0.000 0.000 0.000

**N(E_F)**: 4.1 states/eV/f.u.



VASP calculation (PBE-GGA) on an optimized crystal structure of Y3Br4.

Cell lengths 6.330, 6.330, 5.898 Å; angles 90.00, 90.00, 120.00 degrees
Element x y z (fractional)
Y 0.000 0.500 0.000
Y 0.500 0.500 0.000
Y 0.500 0.000 0.000
Br 0.333 0.667 0.500
Br 0.000 0.000 0.750
Br 0.000 0.000 0.250
Br 0.667 0.333 0.500

**N(E_F)**: 4.0 states/eV/f.u.



VASP calculation (PBE-GGA) on an optimized crystal structure of YBr3.

Cell lengths 3.767, 3.767, 7.278 Å; angles 90.00, 90.00, 90.00 degrees
Element x y z (fractional)
Br 0.000 0.000 0.465
Br 0.500 0.500 0.750
Br 0.000 0.000 0.035
Y 0.500 0.500 0.250

**N(E_F)**: 2.6 states/eV/f.u.



VASP calculation (PBE-GGA) on an optimized crystal structure of Y3Br.

Cell lengths 5.823, 5.823, 3.559 Å; angles 90.00, 90.00, 90.39 degrees
Element x y z (fractional)
Br 0.000 0.000 0.000
Y 0.500 0.500 0.000
Y 0.000 0.500 0.500
Y 0.500 0.000 0.500

**N(E_F)**: 4.0 states/eV/f.u.



VASP calculation (PBE-GGA) on an optimized crystal structure of YBr3.

Cell lengths 4.237, 4.237, 7.731 Å; angles 90.00, 90.00, 120.00 degrees
Element x y z (fractional)
Br 0.000 0.000 0.961
Br 0.000 0.000 0.539
Br 0.667 0.333 0.250
Y 0.667 0.333 0.750



VASP calculation (PBE-GGA) on an optimized crystal structure of Y3Br.

Cell lengths 6.921, 6.921, 5.793 Å; angles 90.00, 90.00, 120.00 degrees
Site moments in Bohr magnetons follow the coordinates.
Element x y z (fractional)
Y 0.669 0.834 0.750  0.13
Y 0.331 0.166 0.250  0.13
Y 0.834 0.669 0.250  0.13
Y 0.166 0.834 0.750  0.13
Y 0.166 0.331 0.750  0.13
Y 0.834 0.166 0.250  0.13
Br 0.667 0.333 0.750  0.00
Br 0.333 0.667 0.250  0.00

**N(E_F)**: 5.1 states/eV/f.u.



VASP calculation (PBE-GGA) on an optimized crystal structure of YBr3.

Cell lengths 10.329, 10.329, 10.329 Å; angles 22.18, 22.18, 22.18 degrees
Site moments in Bohr magnetons follow the coordinates.
Element x y z (fractional)
Br 0.000 0.000 0.000  0.36
Br 0.110 0.110 0.110  0.00
Br 0.890 0.890 0.890  0.00
Y 0.500 0.500 0.500  -0.01

**N(E_F)**: 4.3 states/eV/f.u.



VASP calculation (PBE-GGA) on an optimized crystal structure of YBr3.

Cell lengths 7.105, 7.105, 7.105 Å; angles 149.33, 119.13, 69.70 degrees
Element x y z (fractional)
Br 0.718 0.657 0.061
Br 0.003 0.500 0.503
Br 0.403 0.343 0.061
Y 0.709 0.000 0.709

**N(E_F)**: 0.0 states/eV/f.u.



VASP calculation (PBE-GGA) on an optimized crystal structure of YBr4.

Cell lengths 5.603, 5.603, 5.603 Å; angles 90.00, 90.00, 90.00 degrees
Site moments in Bohr magnetons follow the coordinates.
Element x y z (fractional)
Y 0.500 0.500 0.500  0.00
Br 0.000 0.500 0.500  0.05
Br 0.000 0.000 0.000  0.58
Br 0.500 0.000 0.500  0.05
Br 0.500 0.500 0.000  0.05

**N(E_F)**: 7.1 states/eV/f.u.



VASP calculation (PBE-GGA) on an optimized crystal structure of Y5Br.

Cell lengths 6.171, 6.171, 5.583 Å; angles 90.00, 90.00, 120.00 degrees
Site moments in Bohr magnetons follow the coordinates.
Element x y z (fractional)
Y 0.000 0.680 0.000  0.07
Y 0.320 0.320 0.000  0.07
Y 0.333 0.667 0.500  0.00
Y 0.667 0.333 0.500  0.00
Y 0.680 0.000 0.000  0.07
Br 0.000 0.000 0.500  0.00

**N(E_F)**: 9.4 states/eV/f.u.



VASP calculation (PBE-GGA) on an optimized crystal structure of Y3Br.

Cell lengths 4.922, 4.922, 4.922 Å; angles 90.00, 90.00, 90.00 degrees
Site moments in Bohr magnetons follow the coordinates.
Element x y z (fractional)
Br 0.000 0.000 0.000  0.00
Y 0.000 0.500 0.500  0.17
Y 0.500 0.000 0.500  0.17
Y 0.500 0.500 0.000  0.17

**N(E_F)**: 6.6 states/eV/f.u.



VASP calculation (PBE-GGA) on an optimized crystal structure of Y5Br.

Cell lengths 6.547, 6.547, 5.991 Å; angles 90.00, 90.00, 120.00 degrees
Site moments in Bohr magnetons follow the coordinates.
Element x y z (fractional)
Y 0.500 0.500 0.500  0.03
Y 0.667 0.333 0.000  0.05
Y 0.000 0.500 0.500  0.03
Y 0.500 0.000 0.500  0.03
Y 0.333 0.667 0.000  0.05
Br 0.000 0.000 0.000  0.00

**N(E_F)**: 12.7 states/eV/f.u.



VASP calculation (PBE-GGA) on an optimized crystal structure of YBr3.

Cell lengths 4.120, 7.577, 7.578 Å; angles 43.43, 90.00, 90.00 degrees
Element x y z (fractional)
Br 0.000 0.387 0.387
Br 0.000 0.113 0.113
Br 0.500 0.750 0.750
Y 0.500 0.250 0.250

**N(E_F)**: 0.0 states/eV/f.u.



VASP calculation (PBE-GGA) on an optimized crystal structure of YBr3.

Cell lengths 9.564, 9.564, 9.564 Å; angles 150.97, 150.97, 41.51 degrees
Element x y z (fractional)
Y 0.632 0.632 0.000
Y 0.368 0.368 0.000
Br 0.250 0.750 0.500
Br 0.500 0.000 0.500
Br 0.871 0.871 0.000
Br 0.129 0.129 0.000
Br 0.750 0.250 0.500
Br 0.000 0.500 0.500



VASP calculation (PBE-GGA) on an optimized crystal structure of Y3Br.

Cell lengths 6.681, 6.681, 6.681 Å; angles 149.59, 126.94, 62.39 degrees
Element x y z (fractional)
Br 0.000 0.000 0.000
Y 0.500 0.500 0.000
Y 0.220 0.720 0.500
Y 0.780 0.280 0.500

**N(E_F)**: 4.2 states/eV/f.u.



VASP calculation (PBE-GGA) on an optimized crystal structure of Y3Br.

Cell lengths 6.205, 6.205, 6.205 Å; angles 145.82, 117.40, 73.29 degrees
Element x y z (fractional)
Y 0.966 0.301 0.665
Y 0.364 0.699 0.665
Y 0.574 0.500 0.074
Br 0.929 0.000 0.929

**N(E_F)**: 4.4 states/eV/f.u.



VASP calculation (PBE-GGA) on an optimized crystal structure of YBr3.

Cell lengths 6.745, 6.745, 6.745 Å; angles 41.45, 41.45, 41.45 degrees
Element x y z (fractional)
Br 0.721 0.721 0.721
Br 0.279 0.279 0.279
Br 0.500 0.500 0.500
Y 0.000 0.000 0.000

**N(E_F)**: 0.0 states/eV/f.u.



VASP calculation (PBE-GGA) on an optimized crystal structure of Y3Br.

Cell lengths 6.874, 6.951, 9.712 Å; angles 90.00, 90.00, 90.00 degrees
Element x y z (fractional)
Y 0.121 0.286 0.055
Y 0.621 0.214 0.945
Y 0.121 0.286 0.445
Y 0.684 0.480 0.250
Y 0.316 0.520 0.750
Y 0.379 0.786 0.055
Y 0.621 0.214 0.555
Y 0.184 0.020 0.750
Y 0.879 0.714 0.945
Y 0.879 0.714 0.555
Y 0.379 0.786 0.445
Y 0.816 0.980 0.250
Br 0.920 0.365 0.750
Br 0.080 0.635 0.250
Br 0.580 0.865 0.750
Br 0.420 0.135 0.250

**N(E_F)**: 4.9 states/eV/f.u.



VASP calculation (PBE-GGA) on an optimized crystal structure of YBr4.

Cell lengths 7.543, 7.543, 7.543 Å; angles 93.48, 93.48, 151.47 degrees
Site moments in Bohr magnetons follow the coordinates.
Element x y z (fractional)
Y 0.000 0.000 0.000  -0.02
Br 0.289 0.570 0.859  0.17
Br 0.570 0.711 0.282  0.17
Br 0.711 0.430 0.141  0.17
Br 0.430 0.289 0.718  0.17

**N(E_F)**: 3.4 states/eV/f.u.



VASP calculation (PBE-GGA) on an optimized crystal structure of Y2Br3.

Cell lengths 3.920, 9.146, 9.990 Å; angles 71.73, 78.66, 77.62 degrees
Element x y z (fractional)
Br 0.334 0.825 0.506
Br 0.216 0.689 0.879
Br 0.036 0.669 0.260
Br 0.666 0.175 0.494
Br 0.784 0.311 0.121
Br 0.964 0.331 0.740
Y 0.426 0.191 0.957
Y 0.865 0.986 0.285
Y 0.574 0.809 0.043
Y 0.135 0.014 0.715

**N(E_F)**: 0.0 states/eV/f.u.



VASP calculation (PBE-GGA) on an optimized crystal structure of Y2Br3.

Cell lengths 5.015, 5.015, 6.152 Å; angles 90.00, 90.00, 120.00 degrees
Element x y z (fractional)
Y 0.667 0.333 0.168
Y 0.333 0.667 0.832
Br 0.333 0.667 0.320
Br 0.667 0.333 0.680
Br 0.000 0.000 0.000

**N(E_F)**: 4.4 states/eV/f.u.



VASP calculation (PBE-GGA) on an optimized crystal structure of YBr3.

Cell lengths 7.936, 7.936, 7.936 Å; angles 152.90, 140.14, 48.87 degrees
Element x y z (fractional)
Y 0.500 0.000 0.500
Br 0.648 0.648 0.000
Br 0.352 0.352 0.000
Br 0.000 0.500 0.500

**N(E_F)**: 0.0 states/eV/f.u.



VASP calculation (PBE-GGA) on an optimized crystal structure of Y5Br.

Cell lengths 6.142, 6.142, 8.830 Å; angles 76.66, 76.66, 34.74 degrees
Element x y z (fractional)
Y 0.336 0.336 0.286
Y 0.428 0.428 0.778
Y 0.674 0.674 0.036
Y 0.046 0.046 0.413
Y 0.730 0.730 0.619
Br 0.953 0.953 0.035

**N(E_F)**: 7.8 states/eV/f.u.



VASP calculation (PBE-GGA) on an optimized crystal structure of YBr3.

Cell lengths 3.931, 7.593, 9.236 Å; angles 90.00, 90.00, 90.00 degrees
Element x y z (fractional)
Br 0.500 0.325 0.180
Br 0.000 0.675 0.680
Br 0.000 0.221 0.500
Br 0.500 0.325 0.820
Br 0.500 0.779 0.000
Br 0.000 0.675 0.320
Y 0.000 0.512 0.000
Y 0.500 0.488 0.500

**N(E_F)**: 0.0 states/eV/f.u.



VASP calculation (PBE-GGA) on an optimized crystal structure of YBr3.

Cell lengths 6.312, 7.131, 12.545 Å; angles 90.00, 90.00, 90.00 degrees
Element x y z (fractional)
Br 0.811 0.660 0.899
Br 0.173 0.042 0.750
Br 0.689 0.160 0.601
Br 0.327 0.542 0.750
Br 0.189 0.340 0.399
Br 0.689 0.160 0.899
Br 0.311 0.840 0.101
Br 0.311 0.840 0.399
Br 0.811 0.660 0.601
Br 0.189 0.340 0.101
Br 0.827 0.958 0.250
Br 0.673 0.458 0.250
Y 0.582 0.879 0.750
Y 0.418 0.121 0.250
Y 0.082 0.621 0.250
Y 0.918 0.379 0.750

**N(E_F)**: 0.0 states/eV/f.u.



VASP calculation (PBE-GGA) on an optimized crystal structure of YBr3.

Cell lengths 4.711, 4.711, 4.713 Å; angles 90.00, 90.00, 89.94 degrees
Element x y z (fractional)
Y 0.000 0.000 0.000
Br 0.000 0.500 0.500
Br 0.500 0.500 0.000
Br 0.500 0.000 0.500

**N(E_F)**: 0.2 states/eV/f.u.



Computed calculated total energy, in the same sequence as the records: -16.39, -18.91, -30.48, -16.15, -21.88, -16.11, -42.01, -16.01, -18.80, -18.99, -34.31, -20.95, -31.02, -18.85, -31.97, -22.38, -22.53, -16.79, -91.01, -19.35, -51.06, -23.87, -17.95, -35.51, -37.64, -74.64, -15.53 eV per cell.
Computed uncorrected formation energy, in the same sequence as the records: -1227, -1151, -628, -1166, -203, -1157, 16, -1132, -1831, -1167, -52, 28, 496, -1841, -1126, -328, -367, -1326, -422, -1239, -1517, -1186, -1616, -253, -1835, -1795, -1013 meV/atom.
Computed spin magnetization, in the same sequence as the records: 0.00, 0.00, 0.00, 0.00, 0.00, 0.00, 0.71, 0.48, 0.00, 1.01, 0.36, 0.92, 0.36, 0.00, 0.00, 0.00, 0.00, 0.00, 0.00, 0.87, 0.00, 0.00, 0.00, 0.00, 0.00, 0.00, 0.00 μB per formula unit.